(1)
Ti3GaC (PBE, optimized geometry); space-group type = No. 51; energy of formation from the pure elements = -0.55 eV per atom; density of states at the Fermi level = 2.8 states/eV/f.u.; total magnetization = 1.0 Bohr magnetons per cell; V = 14.533 Å³ per atom
1.0
4.114 0.000 0.076
0.000 4.206 0.000
-0.155 0.000 8.396
Ga Ti C
2 6 2
Cartesian
-0.021 1.051 1.118
3.980 3.154 7.353
1.920 1.051 7.455
4.017 1.051 5.359
1.961 3.154 5.262
1.999 1.051 3.210
-0.057 3.154 3.112
2.039 3.154 1.017
1.959 1.051 5.369
2.001 3.154 3.103

(2)
Ti3GaC (PBE, optimized geometry); space-group type = No. 63; energy of formation from the pure elements = 0.13 eV per atom; density of states at the Fermi level = 6.6 states/eV/f.u.; total magnetization = 0.0 Bohr magnetons per cell; V = 15.757 Å³ per atom
1.0
2.914 -5.019 0.000
2.914 5.019 0.000
0.000 0.000 5.386
Ti Ga C
6 2 2
Cartesian
4.369 -2.152 4.039
1.460 2.152 1.346
1.460 -2.152 4.039
4.369 2.152 1.346
0.000 0.000 2.693
0.000 0.000 0.000
2.914 0.405 4.039
2.914 -0.405 1.346
2.914 -3.454 4.039
2.914 3.454 1.346

(3)
Ti3GaC (PBE, optimized geometry); space-group type = No. 15; energy of formation from the pure elements = -0.51 eV per atom; density of states at the Fermi level = 4.9 states/eV/f.u.; total magnetization = 0.0 Bohr magnetons per cell; V = 14.635 Å³ per atom
1.0
-5.917 8.763 0.108
-4.460 2.099 -5.665
-2.507 -6.706 -2.265
Ti Ga C
12 4 4
Cartesian
-10.855 4.015 -6.178
-7.199 0.094 -5.439
-5.740 7.396 -0.383
-7.144 -3.240 -7.439
-2.030 0.141 -1.644
-5.324 1.333 -3.331
-5.685 4.062 -2.383
-7.561 2.823 -4.491
-3.619 2.530 -1.202
-9.265 1.626 -6.621
-5.248 -2.056 -5.470
-7.636 6.212 -2.352
-6.399 -1.319 -3.058
-6.486 5.475 -4.764
-3.515 -0.702 -3.786
-9.370 4.858 -4.036
-5.917 1.781 -5.318
-8.828 1.145 -4.622
-6.968 2.375 -2.504
-4.056 3.011 -3.200

(4)
Ti7Ga2C2 (PBE, optimized geometry); space-group type = No. 65; energy of formation from the pure elements = -0.32 eV per atom; density of states at the Fermi level = 8.6 states/eV/f.u.; total magnetization = 0.0 Bohr magnetons per cell; V = 14.803 Å³ per atom
1.0
5.483 -0.002 -0.572
0.003 5.561 0.002
-0.912 -0.002 5.436
Ti C Ga
7 2 2
Cartesian
0.000 0.000 0.000
2.287 4.265 2.434
2.742 1.323 -0.285
2.286 1.291 2.433
5.027 1.321 2.147
2.743 4.235 -0.284
-0.454 4.235 2.720
0.837 -0.002 3.793
3.736 5.558 1.074
3.755 2.777 3.996
0.818 2.780 0.870

(5)
Ti3GaC (PBE, optimized geometry); space-group type = No. 74; energy of formation from the pure elements = -0.39 eV per atom; density of states at the Fermi level = 4.1 states/eV/f.u.; total magnetization = 0.1 Bohr magnetons per cell; V = 14.781 Å³ per atom
1.0
-2.320 -3.437 2.672
-5.906 -3.595 -9.753
3.666 -3.264 -1.017
Ti C Ga
12 4 4
Cartesian
-2.856 -4.098 -7.751
-0.239 -5.355 -7.097
-1.670 -6.226 -9.459
-1.710 -4.514 -2.739
-5.330 -4.646 -6.050
-2.890 -4.070 1.361
-4.320 -4.941 -1.001
-4.280 -6.653 -7.721
-0.279 -3.644 -0.377
-1.703 -6.199 -0.347
0.770 -5.650 -2.047
-2.850 -5.782 -5.359
-2.260 -6.004 -7.409
-2.300 -4.292 -0.689
-1.140 -2.574 -2.025
-3.420 -7.723 -6.073
-1.120 -3.430 -5.385
1.833 -1.632 -0.508
-1.160 -1.719 1.336
-4.113 -3.516 -3.541

(6)
Ti3GaC (PBE, optimized geometry); space-group type = No. 194; energy of formation from the pure elements = -0.10 eV per atom; density of states at the Fermi level = 4.8 states/eV/f.u.; total magnetization = 1.8 Bohr magnetons per cell; V = 16.315 Å³ per atom
1.0
-1.580 -2.652 -1.758
2.930 -0.630 1.907
-8.425 -2.921 11.976
Ga Ti C
2 6 2
Cartesian
0.000 0.000 0.000
-4.212 -1.461 5.988
-6.064 -3.902 11.334
-3.355 -3.115 4.124
-2.106 -0.730 2.994
-6.318 -2.191 8.982
-3.720 -3.089 8.001
-1.011 -2.302 0.791
-4.892 -3.495 9.667
-2.183 -2.708 2.458

(7)
Ti4Ga2C (PBE, optimized geometry); space-group type = No. 139; ΔE to the lowest computed polymorph = 52 meV per atom; energy of formation from the pure elements = -0.45 eV per atom; density of states at the Fermi level = 6.8 states/eV/f.u.; total magnetization = 0.5 Bohr magnetons per cell; V = 16.091 Å³ per atom
1.0
4.064 0.000 0.000
0.000 4.064 0.000
2.032 2.032 6.820
Ti Ga C
4 2 1
Cartesian
4.064 4.064 2.141
0.000 2.032 0.000
2.032 2.032 4.679
2.032 0.000 0.000
2.032 2.032 1.935
4.064 4.064 4.885
0.000 0.000 0.000

(8)
Ti3GaC (PBE, optimized geometry); space-group type = No. 12; energy of formation from the pure elements = -0.20 eV per atom; density of states at the Fermi level = 4.8 states/eV/f.u.; total magnetization = 0.0 Bohr magnetons per cell; V = 15.666 Å³ per atom
1.0
19.205 0.000 -4.768
7.854 1.575 -4.539
-7.854 1.575 4.539
Ti Ga C
6 2 2
Cartesian
12.379 1.575 -4.124
9.399 1.575 -4.547
21.934 1.575 -7.019
6.826 1.575 -0.644
-2.729 1.575 2.251
9.805 1.575 -0.220
19.058 1.575 -6.674
0.147 1.575 1.906
23.782 1.575 -8.186
-4.577 1.575 3.419

(9)
TiGa3C (PBE, optimized geometry); space-group type = No. 221; ΔE to the lowest computed polymorph = 0 meV per atom; energy of formation from the pure elements = 0.76 eV per atom; density of states at the Fermi level = 4.5 states/eV/f.u.; total magnetization = 1.2 Bohr magnetons per cell; V = 15.681 Å³ per atom
1.0
4.280 0.000 0.000
0.000 4.280 0.000
0.000 0.000 4.280
Ga C Ti
3 1 1
Cartesian
0.000 0.000 2.140
0.000 2.140 0.000
2.140 0.000 0.000
0.000 0.000 0.000
2.140 2.140 2.140

(10)
Ti3GaC (PBE, optimized geometry); space-group type = No. 119; energy of formation from the pure elements = 0.76 eV per atom; density of states at the Fermi level = 3.9 states/eV/f.u.; total magnetization = 0.0 Bohr magnetons per cell; V = 20.433 Å³ per atom
1.0
4.648 0.000 0.000
0.000 4.648 0.000
2.324 2.324 9.459
Ti Ga C
6 2 2
Cartesian
2.324 5.866 6.943
3.542 4.648 2.516
2.324 3.430 6.943
1.106 4.648 2.516
4.648 4.648 5.200
2.324 2.324 4.259
0.000 0.000 0.000
2.324 4.648 4.730
4.648 2.324 3.998
4.648 2.324 5.461